A) Computed, not measured: crystalline ScBe2Os at its relaxed geometry at the GGA-PBE level of DFT.

The structure belongs to space group I-42d (No. 122); the cell edges are 3.9749, 3.9749 and 16.0146 Å and the angles 90.00°, 90.00° and 90.00°. The distinct sites, in fractional coordinates, are Sc at (0.0000, 0.0000, 0.0000), Be at (0.0109, 0.7500, 0.6250) and Os at (0.0000, 0.0000, 0.5000).

As for the crystal system: tetragonal. Its density of states at the Fermi level is 11.8 states/eV/cell. The value obtained for the theoretical density is 6.65 g/cm3. The calculation puts the total magnetic moment at 0.00 μB/atom.

=====

B) Computed, not measured: crystalline ScBe2Os at its relaxed geometry at the GGA-PBE level of DFT.

The structure belongs to space group I4/mmm (No. 139); the cell edges are 3.8527, 3.8527 and 6.8067 Å and the angles 90.00°, 90.00° and 90.00°. The distinct sites, in fractional coordinates, are Sc at (0.0000, 0.0000, 0.0000), Be at (0.0000, 0.5000, 0.2500) and Os at (0.0000, 0.0000, 0.5000).

As for the crystal system: tetragonal. Its density of states at the Fermi level is 3.1 states/eV/cell. The value obtained for the theoretical density is 8.32 g/cm3. The calculation puts the total magnetic moment at 0.00 μB/atom.

=====

Result of the stability comparison: A) is the least stable of them.